# 1
# AcCd2Ni2Pd

A relaxed structure of AcCd2Ni2Pd (GGA-PBE, Alexandria).

Unit cell a=5.064 b=5.064 c=6.335 alpha=113.56 beta=113.56 gamma=90.00
Fractional coordinates of all 6 atoms:
Ac 0.500 0.500 0.000
Cd 0.250 0.750 0.500
Cd 0.750 0.250 0.500
Ni 0.763 0.763 0.527
Ni 0.237 0.237 0.473
Pd 0.000 0.000 0.000

Calculated values
- Symmetry: I4/mmm, No. 139
- Formation energy: 19 meV per atom

---

# 2
# AcPrCdNi

A relaxed structure of AcPrCdNi (GGA-PBE, Alexandria).

Unit cell a=5.398 b=5.398 c=5.398 alpha=60.00 beta=60.00 gamma=60.00
Fractional coordinates of all 4 atoms:
Pr 0.500 0.500 0.500
Ni 0.250 0.250 0.250
Ac 0.000 0.000 0.000
Cd 0.750 0.750 0.750

Calculated values
- Symmetry: F-43m, No. 216
- Formation energy: -126 meV per atom

---

# 3
# Ac2CdNi2Pt5

A relaxed structure of Ac2CdNi2Pt5 (GGA-PBE, Alexandria).

Unit cell a=4.109 b=9.618 c=9.618 alpha=90.00 beta=90.00 gamma=90.00
Fractional coordinates of all 20 atoms:
Ac 0.000 0.679 0.179
Ac 0.000 0.321 0.821
Ac 0.000 0.179 0.321
Ac 0.000 0.821 0.679
Cd 0.000 0.000 0.000
Cd 0.000 0.500 0.500
Ni 0.000 0.118 0.618
Ni 0.000 0.882 0.382
Ni 0.000 0.618 0.882
Ni 0.000 0.382 0.118
Pt 0.500 0.213 0.064
Pt 0.500 0.787 0.936
Pt 0.500 0.064 0.787
Pt 0.500 0.713 0.436
Pt 0.500 0.936 0.213
Pt 0.500 0.287 0.564
Pt 0.500 0.564 0.713
Pt 0.500 0.436 0.287
Pt 0.500 0.500 0.000
Pt 0.500 0.000 0.500

Calculated values
- Symmetry: P4/mbm, No. 127
- Formation energy: -682 meV per atom

---

# 4
# AcCdNiPt3

A relaxed structure of AcCdNiPt3 (GGA-PBE, Alexandria).

Unit cell a=6.171 b=6.239 c=7.048 alpha=116.27 beta=90.00 gamma=90.00
Fractional coordinates of all 12 atoms:
Ac 0.750 0.293 0.587
Ac 0.250 0.707 0.413
Cd 0.250 0.352 0.705
Cd 0.750 0.648 0.295
Ni 0.250 0.928 0.856
Ni 0.750 0.072 0.144
Pt 0.250 0.141 0.283
Pt 0.000 0.280 0.000
Pt 0.500 0.720 0.000
Pt 0.500 0.280 0.000
Pt 0.000 0.720 0.000
Pt 0.750 0.859 0.717

Calculated values
- Symmetry: Cmcm, No. 63
- Formation energy: -348 meV per atom

---

# 5
# Ac2CdNi4Sb3

A relaxed structure of Ac2CdNi4Sb3 (GGA-PBE, Alexandria).

Unit cell a=4.545 b=4.545 c=10.319 alpha=90.00 beta=90.00 gamma=90.00
Fractional coordinates of all 10 atoms:
Ac 0.500 0.000 0.237
Ac 0.000 0.500 0.763
Cd 0.500 0.500 0.500
Ni 0.500 0.500 0.000
Ni 0.000 0.000 0.000
Ni 0.500 0.000 0.628
Ni 0.000 0.500 0.372
Sb 0.000 0.000 0.500
Sb 0.500 0.000 0.876
Sb 0.000 0.500 0.124

Calculated values
- Formation energy from raw total energies: -0.59 eV per atom
- Symmetry: P-4m2, No. 115

---

# 6
# Ac2Cd2NiSn4

A relaxed structure of Ac2Cd2NiSn4 (GGA-PBE, Alexandria).

Unit cell a=6.953 b=6.953 c=6.953 alpha=91.87 beta=118.93 gamma=118.93
Fractional coordinates of all 9 atoms:
Ac 0.500 0.750 0.250
Ac 0.500 0.250 0.750
Cd 0.000 0.722 0.722
Cd 0.000 0.278 0.278
Ni 0.000 0.000 0.000
Sn 0.000 0.736 0.264
Sn 0.472 0.736 0.736
Sn 0.000 0.264 0.736
Sn 0.528 0.264 0.264

Calculated values
- Symmetry: I4/mmm, No. 139
- Formation energy: -417 meV per atom

---

# 7
# Ac2CdNi3Sn4

A relaxed structure of Ac2CdNi3Sn4 (GGA-PBE, Alexandria).

Unit cell a=4.612 b=4.612 c=10.847 alpha=90.00 beta=90.00 gamma=90.00
Fractional coordinates of all 10 atoms:
Ac 0.500 0.000 0.246
Ac 0.000 0.500 0.754
Cd 0.500 0.500 0.500
Ni 0.000 0.000 0.500
Ni 0.500 0.000 0.883
Ni 0.000 0.500 0.117
Sn 0.500 0.500 0.000
Sn 0.000 0.000 0.000
Sn 0.500 0.000 0.646
Sn 0.000 0.500 0.354

Calculated values
- Symmetry: P-4m2, No. 115
- Formation energy: -483 meV per atom

---

# 8
# Ac3CdNi2Sn6

A relaxed structure of Ac3CdNi2Sn6 (GGA-PBE, Alexandria).

Unit cell a=6.502 b=6.502 c=10.081 alpha=90.00 beta=90.00 gamma=120.00
Fractional coordinates of all 12 atoms:
Ac 0.333 0.667 0.586
Ac 0.667 0.333 0.414
Ac 0.000 0.000 0.000
Cd 0.000 0.000 0.500
Ni 0.667 0.333 0.915
Ni 0.333 0.667 0.085
Sn 0.650 0.825 0.271
Sn 0.175 0.350 0.271
Sn 0.175 0.825 0.271
Sn 0.825 0.650 0.729
Sn 0.350 0.175 0.729
Sn 0.825 0.175 0.729

Calculated values
- Symmetry: P-3m1, No. 164
- Formation energy: -137 meV per atom

---

> Number 4 is which compound?

AcCdNiPt3